A relaxed SrMnO3 crystal, computed with GGA+U.

* ρ: 4.322 g cm⁻³
* calculated total energy: -6.6177 eV per atom
* space-group type: P6_3/mmc (194)
* Fermi-level density of states: 1.47 states/eV per atom

Geometry as POSCAR:
```
SrMnO3
1.0
3.7017 0.0000 0.0000
-1.8508 3.2058 0.0000
0.0000 0.0000 12.3403
Sr Mn O
2 2 6
Direct
0.0000 0.0000 0.0000 Sr
0.0000 0.0000 0.5000 Sr
0.3333 0.6667 0.2500 Mn
0.6667 0.3333 0.7500 Mn
0.0000 0.0000 0.2500 O
0.0000 0.0000 0.7500 O
0.3333 0.6667 0.1009 O
0.3333 0.6667 0.3991 O
0.6667 0.3333 0.6009 O
0.6667 0.3333 0.8991 O
```